First-principles (meta-GGA SCAN) data for a crystal of Ac2ZnSi relaxed with PBEsol, as listed in the Alexandria database.

## Properties
**Raw total energy**: -51.46 eV/atom
**ΔE_f (raw)**: -0.339 eV per atom
**Space-group type**: Fm-3m (225)

extended XYZ file:
```
16
Lattice="7.6100 0.0000 0.0000 0.0000 7.6100 0.0000 0.0000 0.0000 7.6100" Properties=species:S:1:pos:R:3 pbc="T T T"
Ac 1.9025 1.9025 1.9025
Ac 1.9025 1.9025 5.7075
Ac 1.9025 5.7075 1.9025
Ac 1.9025 5.7075 5.7075
Ac 5.7075 1.9025 1.9025
Ac 5.7075 1.9025 5.7075
Ac 5.7075 5.7075 1.9025
Ac 5.7075 5.7075 5.7075
Zn 0.0000 0.0000 0.0000
Zn 0.0000 3.8050 3.8050
Zn 3.8050 0.0000 3.8050
Zn 3.8050 3.8050 0.0000
Si 0.0000 0.0000 3.8050
Si 0.0000 3.8050 0.0000
Si 3.8050 0.0000 0.0000
Si 3.8050 3.8050 3.8050
```



First-principles (meta-GGA SCAN) data for a crystal of MnNi6O8 relaxed with PBEsol, as listed in the Alexandria database.

## Properties
**Raw total energy**: -12.42 eV/atom
**ΔE_f (raw)**: -1.411 eV per atom
**Space-group type**: Fm-3m (225)

extended XYZ file:
```
15
Lattice="0.0000 4.0615 4.0615 4.0615 0.0000 4.0615 4.0615 4.0615 0.0000" Properties=species:S:1:pos:R:3 pbc="T T T"
Mn 0.0000 0.0000 0.0000
Ni 2.0307 2.0307 0.0000
Ni 2.0307 0.0000 2.0307
Ni 4.0615 2.0307 2.0307
Ni 0.0000 2.0307 2.0307
Ni 2.0307 4.0615 2.0307
Ni 2.0307 2.0307 4.0615
O 4.0615 4.0615 1.9030
O 4.0615 1.9030 4.0615
O 6.2199 4.0615 4.0615
O 2.0307 2.0307 2.0307
O 6.0922 6.0922 6.0922
O 1.9030 4.0615 4.0615
O 4.0615 6.2199 4.0615
O 4.0615 4.0615 6.2199
```



First-principles (meta-GGA SCAN) data for a crystal of Te2P3O12 relaxed with PBEsol, as listed in the Alexandria database.

## Properties
**Raw total energy**: -12.41 eV/atom
**ΔE_f (raw)**: -1.793 eV per atom
**Space-group type**: R-3 (148)

extended XYZ file:
```
34
Lattice="4.2674 2.4638 7.7914 -4.2674 2.4638 7.7914 0.0000 -4.9276 7.7914" Properties=species:S:1:pos:R:3 pbc="T T T"
Te 0.0000 0.0000 3.2975
Te 0.0000 0.0000 8.0899
Te 0.0000 0.0000 15.2842
Te 0.0000 0.0000 20.0766
P -3.0141 -0.2893 9.7209
P -1.2565 -2.7550 13.6532
P 1.7576 -2.4656 9.7208
P -1.7576 2.4656 13.6532
P 1.2565 2.7550 9.7209
P 3.0141 0.2893 13.6533
O -3.2281 -0.9440 11.0800
O -2.6788 -2.1549 13.5973
O -3.2056 1.2424 9.7768
O -0.2170 -1.6768 6.9263
O -1.5641 -0.6406 9.2756
O -1.3436 1.0264 6.9263
O -0.7965 -3.2677 12.2941
O 0.5268 -3.3973 9.7768
O -2.4316 2.3236 12.2941
O -0.2273 -1.6748 14.0985
O -1.5607 -0.6504 16.4478
O 1.3368 -1.0343 9.2755
O -1.3368 1.0343 14.0985
O 1.5607 0.6504 6.9263
O 0.2273 1.6749 9.2755
O 2.4316 -2.3236 11.0800
O -0.5268 3.3973 13.5973
O 0.7965 3.2677 11.0800
O 1.3436 -1.0264 16.4478
O 1.5641 0.6406 14.0986
O 0.2170 1.6768 16.4478
O 3.2056 -1.2424 13.5973
O 2.6787 2.1549 9.7768
O 3.2281 0.9440 12.2941
```



First-principles (meta-GGA SCAN) data for a crystal of LiMnNbO4 relaxed with PBEsol, as listed in the Alexandria database.

## Properties
**Raw total energy**: -13.64 eV/atom
**Distance to the lowest polymorph of the same formula**: 0.076 eV per atom
**ΔE_f (raw)**: -2.395 eV per atom
**Space-group type**: Imma (74)

extended XYZ file:
```
14
Lattice="-2.9620 3.0487 4.4752 2.9620 -3.0487 4.4752 2.9620 3.0487 -4.4752" Properties=species:S:1:pos:R:3 pbc="T T T"
Li 0.0000 1.5243 1.2668
Li 2.9620 1.5243 3.2084
Mn 1.4810 1.5243 -2.2376
Mn 1.4810 -1.5243 2.2376
Nb 2.9620 0.0000 0.0000
Nb 0.0000 0.0000 4.4752
O 2.9620 -0.1726 2.0207
O 2.9620 2.8760 -2.0207
O 1.6069 1.5243 0.0479
O 4.3171 1.5243 0.0479
O -1.3551 1.5243 4.4273
O 1.3551 1.5243 4.4273
O 0.0000 0.1726 6.4959
O 0.0000 3.2213 2.4544
```



First-principles (meta-GGA SCAN) data for a crystal of ZrAg2P relaxed with PBEsol, as listed in the Alexandria database.

## Properties
**Raw total energy**: -26.03 eV/atom
**Space-group type**: P4/mmm (123)
**Energy relative to the elements**: -0.0701 eV per atom

extended XYZ file:
```
4
Lattice="3.6622 0.0000 0.0000 0.0000 3.6622 0.0000 0.0000 0.0000 5.3205" Properties=species:S:1:pos:R:3 pbc="T T T"
Zr 0.0000 0.0000 0.0000
Ag 1.8311 1.8311 1.3536
Ag 1.8311 1.8311 3.9669
P 0.0000 0.0000 2.6603
```



First-principles (meta-GGA SCAN) data for a crystal of CuH2PbSO6 relaxed with PBEsol, as listed in the Alexandria database.

## Properties
**Raw total energy**: -14.50 eV/atom
**Space-group type**: P2_1/m (11)

extended XYZ file:
```
22
Lattice="4.6211 0.0000 0.0000 0.0000 5.6231 0.0000 -2.0029 0.0000 9.4348" Properties=species:S:1:pos:R:3 pbc="T T T"
Cu 0.0000 0.0000 0.0000
Cu 0.0000 2.8115 0.0000
H 1.4910 1.4058 1.3131
H 2.0138 4.2173 0.4505
H 0.6044 1.4058 8.9843
H 1.1272 4.2173 8.1217
Pb 0.8600 4.2173 3.2115
Pb 1.7582 1.4058 6.2233
S -0.7598 4.2173 6.2978
S 3.3780 1.4058 3.1370
O -0.7703 1.4058 4.5324
O -1.2309 2.9976 7.0281
O -1.2309 5.4370 7.0281
O 1.0621 4.2173 0.8584
O 1.2826 1.4058 0.3386
O 0.7370 4.2173 6.3436
O 1.8812 1.4058 3.0912
O 1.3356 4.2173 9.0963
O 1.5561 1.4058 8.5765
O 3.8491 0.1861 2.4067
O 3.8491 2.6254 2.4067
O 3.3885 4.2173 4.9024
```